Compound: CsAcFeO4
Source: the Alexandria database
Functional: PBE with a Hubbard U
Structure: optimized geometry

Values from the calculation:
Fermi-level density of states in states/eV/atom: 0.15
Symmetry: P2_1/m, No. 11
Raw total energy in eV per atom: -6.3330
V in Å³/f.u.: 152

Structure (POSCAR):
```
CsAcFeO4
1.0
6.3353 0.0000 0.0000
0.0000 6.2293 0.0000
-2.3539 0.0000 7.6981
Cs Ac Fe O
2 2 2 8
Cartesian
0.2831 1.5573 3.2791
3.6983 4.6720 4.4190
-0.3919 1.5573 7.3341
4.3734 4.6720 0.3639
1.2237 4.6720 1.2922
2.7578 1.5573 6.4059
-1.8395 4.6720 7.3663
-0.2780 4.6720 2.2698
2.4522 3.2611 1.3711
2.4522 6.0828 1.3711
1.5292 0.1465 6.3270
1.5292 2.9681 6.3270
4.2595 1.5573 5.4282
5.8209 1.5573 0.3318
```